## Be2WAu (GGA-PBE)

Data for an optimized crystal structure of Be2WAu.

```
Be2WAu
1.0
-2.9378 2.4210 0.5550
-3.8462 -0.0847 -0.0133
-0.6924 -0.9421 5.2610
W Be Au
1 2 1
Direct
0.2500 0.2500 0.2500 W
0.0023 0.0023 0.9869 Be
0.4977 0.4977 0.5131 Be
0.7500 0.7500 0.7500 Au
```

Properties
VASP energy = -5.593 eV per atom
Energy of formation from the pure elements = 1.312 eV/f.u.
Excess energy over the best structure of this formula in the dataset = 0.2233 eV per atom



## KSb6Au8 (GGA-PBE)

Data for an optimized crystal structure of KSb6Au8.

```
KSb6Au8
1.0
-3.8802 -5.6831 4.1027
6.5858 -2.6629 3.7043
-1.0736 4.5761 6.4879
Au Sb K
8 6 1
Direct
0.3036 0.8546 0.5900 Au
0.1454 0.4100 0.6964 Au
0.6964 0.1454 0.4100 Au
0.5900 0.3036 0.8546 Au
0.8546 0.5900 0.3036 Au
0.3869 0.3869 0.3869 Au
0.4100 0.6964 0.1454 Au
0.6131 0.6131 0.6131 Au
0.8471 0.3463 0.6025 Sb
0.6537 0.3975 0.1529 Sb
0.6025 0.8471 0.3463 Sb
0.3463 0.6025 0.8471 Sb
0.3975 0.1529 0.6537 Sb
0.1529 0.6537 0.3975 Sb
0.0000 0.0000 0.0000 K
```

Properties
VASP energy = -3.444 eV per atom
Raw formation energy = 0.026 eV per atom



## KGa2Sb2 (GGA-PBE)

Data for an optimized crystal structure of KGa2Sb2.

```
KGa2Sb2
1.0
-0.3381 1.8040 4.2407
-3.9970 -2.2314 0.6306
1.5620 -6.1023 5.2380
K Ga Sb
1 2 2
Direct
0.0000 0.0000 0.0000 K
0.7500 0.2500 0.5000 Ga
0.2500 0.7500 0.5000 Ga
0.6430 0.6430 0.7139 Sb
0.3570 0.3570 0.2861 Sb
```

Properties
VASP energy = -3.344 eV per atom
Raw formation energy = -0.265 eV per atom
Excess energy over the best structure of this formula in the dataset = 0.0000 eV per atom



## Pr6GeTe5 (GGA-PBE)

Data for an optimized crystal structure of Pr6GeTe5.

```
Pr6GeTe5
1.0
7.8298 0.2001 0.0000
2.3980 7.4382 0.0000
1.1990 3.7191 6.7532
Pr Te Ge
6 5 1
Direct
0.2380 0.2307 0.0000 Pr
0.7620 0.7693 0.0000 Pr
0.2344 0.6107 0.3119 Pr
0.7656 0.3893 0.6881 Pr
0.2344 0.9226 0.6881 Pr
0.7656 0.0774 0.3119 Pr
0.0000 0.3346 0.3307 Te
0.5000 0.1730 0.6540 Te
0.0000 0.6654 0.6693 Te
0.5000 0.8270 0.3460 Te
0.5000 0.5000 0.0000 Te
0.0000 0.0000 0.0000 Ge
```

Properties
VASP energy = -5.493 eV per atom
Raw formation energy = -1.409 eV per atom